PBE with a Hubbard U TiMnOF2, relaxed; space group = No. 123; size of the total moment = 6.759 μB/f.u.; total DFT energy (no corrections) = -6.898 eV per atom
1.0
4.213 0.000 0.000
0.000 4.213 0.000
0.000 0.000 3.852
Ti O F Mn
1 1 2 1
Direct
0.000 0.000 0.000
0.000 0.000 0.500
0.500 0.000 0.000
0.000 0.500 0.000
0.500 0.500 0.500